This record from the Alexandria database describes TeMo2IO after structural relaxation. The functional is PBE+U.

The structure in extended XYZ format:
```
5
Lattice="5.6920 0.0000 0.0000 0.0000 6.0346 0.0000 0.0000 0.0000 5.6920" Properties=species:S:1:pos:R:3 pbc="T T T"
I 0.0000 3.0173 0.0000
Mo 0.0000 0.0000 2.8460
Mo 2.8460 0.0000 0.0000
Te 0.0000 0.0000 0.0000
O 2.8460 3.0173 2.8460
```

## Properties
Uncorrected energy: -3.3297 eV per atom
SG: P4/mmm, No. 123
Density: 3.9 g/cm³
Volume: 39.1 Å³/atom